1.
SrScB2 | PBE-GGA | optimized geometry

Calculated values
Total magnetization   0.0 μB per cell
Energy relative to the lowest polymorph listed for this composition   0.1839 eV per atom
Density   3.08 Mg/m³
Energy relative to the elements   905 meV/atom

Cell lengths 4.5000, 4.5000, 16.4131 Å; angles 90.00, 90.00, 90.00 degrees
Last column: nearest neighbours and their distance in Å.
Space group I4_1/amd (No. 141, origin choice 2)
Unique sites:
Sr  0.0000  0.2500  0.3750 (multiplicity 4)  4 Sc 3.18, 8 B 3.25
Sc  0.0000  0.2500  0.8750 (multiplicity 4)  4 B 2.34
B  0.0000  0.0000  0.0000 (multiplicity 8)  2 B 2.25, 2 Sc 2.34



2.
SrSc3B | PBE-GGA | optimized geometry

Calculated values
Total magnetization   0.0 μB per cell
Energy relative to the lowest polymorph listed for this composition   2.1101 eV per atom
Density   2.91 Mg/m³
Energy relative to the elements   2199 meV/atom

Cell lengths 5.1067, 5.1067, 5.1067 Å; angles 90.00, 90.00, 90.00 degrees
Last column: nearest neighbours and their distance in Å.
Space group Pm-3m (No. 221)
Unique sites:
Sr  0.0000  0.0000  0.0000 (multiplicity 1)  6 Sc 2.55
Sc  0.0000  0.0000  0.5000 (multiplicity 3)  2 Sr 2.55
B  0.5000  0.5000  0.5000 (multiplicity 1)  12 Sc 3.61



3.
SrSc2TaB | PBE-GGA | optimized geometry

Calculated values
Total magnetization   0.0 μB per cell
Density   5.27 Mg/m³
Energy relative to the elements   816 meV/atom

Cell lengths 4.7453, 4.7453, 5.1677 Å; angles 90.00, 90.00, 90.00 degrees
Last column: nearest neighbours and their distance in Å.
Space group P4/mmm (No. 123)
Unique sites:
Sr  0.0000  0.0000  0.0000 (multiplicity 1)  2 B 2.58
Sc  0.0000  0.5000  0.5000 (multiplicity 2)  2 B 2.37
Ta  0.5000  0.5000  0.0000 (multiplicity 1)  4 Sr 3.36, 8 Sc 3.51
B  0.0000  0.0000  0.5000 (multiplicity 1)  4 Sc 2.37, 2 Sr 2.58



4.
SrScTi2B | PBE-GGA | optimized geometry

Calculated values
Total magnetization   0.0 μB per cell
Density   3.05 Mg/m³
Energy relative to the elements   1916 meV/atom

Cell lengths 4.6778, 4.6778, 5.9542 Å; angles 90.00, 90.00, 90.00 degrees
Last column: nearest neighbours and their distance in Å.
Space group P4/mmm (No. 123)
Unique sites:
Sr  0.0000  0.0000  0.0000 (multiplicity 1)  2 Sc 2.98, 4 B 3.31
Sc  0.0000  0.0000  0.5000 (multiplicity 1)  4 Ti 2.34
Ti  0.0000  0.5000  0.5000 (multiplicity 2)  2 Sc 2.34
B  0.5000  0.5000  0.0000 (multiplicity 1)  4 Sr 3.31



5.
SrScTiB2 | PBE-GGA | optimized geometry

Calculated values
Total magnetization   0.4 μB per cell
Density   3.20 Mg/m³
Energy relative to the elements   2408 meV/atom

Cell lengths 4.6088, 4.6088, 4.9319 Å; angles 90.00, 90.00, 90.00 degrees
Last column: nearest neighbours and their distance in Å.
Space group P4/mmm (No. 123)
Unique sites:
Sr  0.0000  0.0000  0.0000 (multiplicity 1)  4 B 2.30, 2 Sc 2.47
Sc  0.0000  0.0000  0.5000 (multiplicity 1)  2 Sr 2.47
Ti  0.5000  0.5000  0.5000 (multiplicity 1)  4 Sc 3.26, 8 B 3.38
B  0.0000  0.5000  0.0000 (multiplicity 2)  2 Sr 2.30



6.
Sr2ScTlB | PBE-GGA | optimized geometry

Calculated values
Total magnetization   1.4 μB per cell
Density   3.38 Mg/m³
Energy relative to the elements   1391 meV/atom

Cell lengths 6.2895, 6.2895, 5.4105 Å; angles 90.00, 90.00, 90.00 degrees
Last column: nearest neighbours and their distance in Å.
Space group P4/mmm (No. 123)
Unique sites:
Sr  0.0000  0.5000  0.0000 (multiplicity 2)  2 Sc 3.14
Sc  0.0000  0.0000  0.0000 (multiplicity 1)  2 Tl 2.71
Tl  0.0000  0.0000  0.5000 (multiplicity 1)  2 Sc 2.71
B  0.5000  0.5000  0.5000 (multiplicity 1)  8 Sr 4.15, 4 Tl 4.45



7.
SrSc2TlB | PBE-GGA | optimized geometry

Calculated values
Total magnetization   0.0 μB per cell
Density   4.67 Mg/m³
Energy relative to the elements   986 meV/atom

Cell lengths 5.6490, 5.6490, 4.3768 Å; angles 90.00, 90.00, 90.00 degrees
Last column: nearest neighbours and their distance in Å.
Space group P4/mmm (No. 123)
Unique sites:
Sr  0.0000  0.0000  0.0000 (multiplicity 1)  8 Sc 3.57, 4 B 3.99
Sc  0.0000  0.5000  0.5000 (multiplicity 2)  2 Tl 2.82
Tl  0.5000  0.5000  0.5000 (multiplicity 1)  2 B 2.19
B  0.5000  0.5000  0.0000 (multiplicity 1)  2 Tl 2.19



8.
SrScTl2B | PBE-GGA | optimized geometry

Calculated values
Total magnetization   1.2 μB per cell
Density   4.29 Mg/m³
Energy relative to the elements   1915 meV/atom

Cell lengths 6.0319, 6.0319, 5.8699 Å; angles 90.00, 90.00, 90.00 degrees
Last column: nearest neighbours and their distance in Å.
Space group P4/mmm (No. 123)
Unique sites:
Sr  0.0000  0.0000  0.0000 (multiplicity 1)  2 Sc 2.93, 4 Tl 3.02
Sc  0.0000  0.0000  0.5000 (multiplicity 1)  2 Sr 2.93
Tl  0.0000  0.5000  0.0000 (multiplicity 2)  2 Sr 3.02
B  0.5000  0.5000  0.5000 (multiplicity 1)  8 Tl 4.21, 4 Sc 4.27



9.
SrScVB2 | PBE-GGA | optimized geometry

Calculated values
Total magnetization   0.0 μB per cell
Density   3.56 Mg/m³
Energy relative to the elements   1384 meV/atom

Cell lengths 4.6929, 4.6929, 4.3508 Å; angles 90.00, 90.00, 90.00 degrees
Last column: nearest neighbours and their distance in Å.
Space group P4/mmm (No. 123)
Unique sites:
Sr  0.0000  0.0000  0.0000 (multiplicity 1)  8 B 3.20, 4 V 3.32
Sc  0.5000  0.5000  0.5000 (multiplicity 1)  2 V 2.18, 4 B 2.35
V  0.5000  0.5000  0.0000 (multiplicity 1)  2 Sc 2.18
B  0.0000  0.5000  0.5000 (multiplicity 2)  2 Sc 2.35



10.
ScTa2B6 | PBE-GGA | optimized geometry

Calculated values
Total magnetization   0.0 μB per cell
Energy relative to the lowest polymorph listed for this composition   0.3731 eV per atom
Density   8.04 Mg/m³
Energy relative to the elements   -466 meV/atom

Cell lengths 3.1816, 7.3452, 8.3409 Å; angles 90.00, 90.00, 90.00 degrees
Last column: nearest neighbours and their distance in Å.
Space group Immm (No. 71)
Unique sites:
Sc  0.0000  0.0000  0.0000 (multiplicity 2)  16 B 3.01-3.07, 2 Sc 3.18, 4 Ta 3.20
Ta  0.0000  0.5000  0.1676 (multiplicity 4)  10 B 2.26-2.36
B  0.0000  0.1425  0.5000 (multiplicity 4)  2 B 1.78
B  0.0000  0.2343  0.3030 (multiplicity 8)  3 B 1.78-1.83



11.
Sc2TaB6 | PBE-GGA | optimized geometry

Calculated values
Total magnetization   0.0 μB per cell
Density   6.45 Mg/m³
Energy relative to the elements   -904 meV/atom

Cell lengths 5.3981, 5.3981, 3.4266 Å; angles 90.00, 90.00, 120.00 degrees
Last column: nearest neighbours and their distance in Å.
Space group P6/mmm (No. 191)
Unique sites:
Sc  0.3333  0.6667  0.0000 (multiplicity 2)  12 B 2.49
Ta  0.0000  0.0000  0.0000 (multiplicity 1)  12 B 2.47
B  0.0000  0.3308  0.5000 (multiplicity 6)  3 B 1.79-1.83



12.
Sc3TaB | PBE-GGA | optimized geometry

Calculated values
Total magnetization   0.0 μB per cell
Energy relative to the lowest polymorph listed for this composition   1.2282 eV per atom
Density   4.21 Mg/m³
Energy relative to the elements   1552 meV/atom

Cell lengths 5.0519, 5.0519, 5.0519 Å; angles 90.00, 90.00, 90.00 degrees
Last column: nearest neighbours and their distance in Å.
Space group Pm-3m (No. 221)
Unique sites:
Sc  0.0000  0.0000  0.5000 (multiplicity 3)  2 Ta 2.53
Ta  0.0000  0.0000  0.0000 (multiplicity 1)  6 Sc 2.53
B  0.5000  0.5000  0.5000 (multiplicity 1)  12 Sc 3.57